Y2ScP | meta-GGA SCAN | PBEsol geometry

a b c (Å): 4.288 4.288 5.633
angles (deg): 112.37 112.37 90.00
Atoms (fractional coordinates):
P  0.500  0.500  0.000
Sc  0.000  0.000  0.000
Y  0.750  0.250  0.500
Y  0.250  0.750  0.500

Values from the calculation:
As for the magnetization: 0.0005 μB/atom. The energy relative to the elements comes out at -0.348 eV per atom.



AlPCl2F | meta-GGA SCAN | PBEsol geometry

a b c (Å): 3.581 4.815 4.815
angles (deg): 90.00 90.00 90.00
Atoms (fractional coordinates):
P  0.500  0.500  0.500
F  0.500  0.000  0.000
Al  0.000  0.000  0.000
Cl  0.000  0.000  0.500
Cl  0.000  0.500  0.000

Values from the calculation:
The formation energy from raw total energies is -0.748 eV per atom. As for the magnetization: 0.0009 μB/atom.



LaMg2Cu | meta-GGA SCAN | PBEsol geometry

a b c (Å): 3.156 5.113 6.464
angles (deg): 112.43 102.80 93.27
Atoms (fractional coordinates):
Cu  0.000  0.500  0.000
La  0.500  0.000  0.000
Mg  0.500  0.500  0.500
Mg  0.000  0.000  0.500

Values from the calculation:
As for the magnetization: 0.0616 μB/atom. The energy relative to the elements comes out at 0.164 eV per atom.



BePSeCl2 | meta-GGA SCAN | PBEsol geometry

a b c (Å): 4.816 4.816 4.949
angles (deg): 90.00 90.00 90.00
Atoms (fractional coordinates):
P  0.000  0.000  0.500
Be  0.500  0.500  0.500
Se  0.000  0.000  0.000
Cl  0.000  0.500  0.000
Cl  0.500  0.000  0.000

Values from the calculation:
The formation energy from raw total energies is 0.884 eV per atom. As for the magnetization: 0.0000 μB/atom.



La2Ir | meta-GGA SCAN | PBEsol geometry

a b c (Å): 4.159 5.848 8.141
angles (deg): 90.00 104.80 90.00
Atoms (fractional coordinates):
Ir  0.185  0.250  0.369
Ir  0.815  0.750  0.631
La  0.814  0.250  0.628
La  0.572  0.250  0.144
La  0.428  0.750  0.856
La  0.186  0.750  0.372

Values from the calculation:
As for the magnetization: 0.0001 μB/atom. The energy relative to the elements comes out at -0.657 eV per atom.



Na3SrTa4O12 | meta-GGA SCAN | PBEsol geometry

a b c (Å): 5.555 5.556 7.897
angles (deg): 90.00 90.00 89.55
Atoms (fractional coordinates):
Na  0.008  0.009  0.000
Na  0.499  0.498  0.500
Na  0.993  0.993  0.500
Sr  0.507  0.508  0.000
Ta  0.000  0.500  0.747
Ta  0.500  0.000  0.253
Ta  0.000  0.500  0.253
Ta  0.500  0.000  0.747
O  0.219  0.219  0.717
O  0.285  0.715  0.251
O  0.778  0.778  0.212
O  0.715  0.284  0.751
O  0.778  0.778  0.788
O  0.715  0.284  0.249
O  0.219  0.219  0.283
O  0.285  0.715  0.749
O  0.030  0.462  0.000
O  0.460  0.028  0.000
O  0.967  0.540  0.500
O  0.542  0.970  0.500

Values from the calculation:
The formation energy from raw total energies is -2.950 eV per atom. As for the magnetization: 0.0000 μB/atom.



KFeN | meta-GGA SCAN | PBEsol geometry

a b c (Å): 3.482 6.537 9.672
angles (deg): 90.00 90.00 90.00
Atoms (fractional coordinates):
K  0.250  0.048  0.680
K  0.250  0.452  0.180
K  0.750  0.952  0.320
K  0.750  0.548  0.820
Fe  0.250  0.610  0.523
Fe  0.250  0.890  0.023
Fe  0.750  0.390  0.477
Fe  0.750  0.110  0.977
N  0.250  0.159  0.965
N  0.250  0.341  0.465
N  0.750  0.841  0.035
N  0.750  0.659  0.535

Values from the calculation:
The formation energy from raw total energies is -0.040 eV per atom. As for the magnetization: 0.1880 μB/atom.



KBaCa2 | meta-GGA SCAN | PBEsol geometry

a b c (Å): 5.913 5.913 7.075
angles (deg): 114.70 114.70 90.00
Atoms (fractional coordinates):
Ba  0.250  0.750  0.500
Ca  0.000  0.000  0.000
Ca  0.750  0.250  0.500
K  0.500  0.500  0.000

Values from the calculation:
The offset from the most stable computed form is 0.055 eV/atom. As for the magnetization: 0.0774 μB/atom. The energy relative to the elements comes out at 0.153 eV per atom.



Cr3Ir | meta-GGA SCAN | PBEsol geometry

a b c (Å): 2.839 2.839 5.951
angles (deg): 90.00 90.00 90.00
Atoms (fractional coordinates):
Cr  0.000  0.000  0.721
Cr  0.000  0.000  0.279
Cr  0.500  0.500  0.500
Ir  0.500  0.500  0.000

Values from the calculation:
As for the magnetization: 0.5820 μB/atom. The energy relative to the elements comes out at -0.129 eV per atom.



Ta4Mo3 | meta-GGA SCAN | PBEsol geometry

a b c (Å): 3.194 3.194 11.557
angles (deg): 97.94 97.94 90.00
Atoms (fractional coordinates):
Mo  0.004  0.004  0.007
Mo  0.570  0.570  0.140
Mo  0.712  0.712  0.425
Ta  0.142  0.142  0.285
Ta  0.282  0.282  0.563
Ta  0.858  0.858  0.715
Ta  0.432  0.432  0.865

Values from the calculation:
The offset from the most stable computed form is 0.007 eV/atom. As for the magnetization: 0.0000 μB/atom. The energy relative to the elements comes out at -0.142 eV per atom.



ZnSeSCl2 | meta-GGA SCAN | PBEsol geometry

a b c (Å): 4.517 4.517 5.082
angles (deg): 90.00 90.00 90.00
Atoms (fractional coordinates):
Zn  0.000  0.000  0.000
S  0.000  0.000  0.500
Se  0.500  0.500  0.500
Cl  0.000  0.500  0.000
Cl  0.500  0.000  0.000

Values from the calculation:
The formation energy from raw total energies is 0.071 eV per atom. The offset from the most stable computed form is 0.000 eV/atom. As for the magnetization: 0.2185 μB/atom.



YZn4 | meta-GGA SCAN | PBEsol geometry

a b c (Å): 4.148 5.502 7.939
angles (deg): 100.51 105.14 90.00
Atoms (fractional coordinates):
Y  0.284  0.273  0.568
Y  0.716  0.727  0.432
Zn  0.516  0.737  0.032
Zn  0.642  0.187  0.284
Zn  0.912  0.573  0.825
Zn  0.096  0.919  0.192
Zn  0.904  0.081  0.808
Zn  0.088  0.427  0.175
Zn  0.358  0.813  0.716
Zn  0.484  0.263  0.968

Values from the calculation:
As for the magnetization: 0.0000 μB/atom. The energy relative to the elements comes out at -0.311 eV per atom.



> Which formula does entry 3 have?

LaMg2Cu